First-principles (PBE) data for crystalline BaLiSmS3 at its relaxed geometry, as listed in the Alexandria database.

Calculated values
- density of states at the Fermi level (states/eV/atom) = 0.000
- formation energy without anion corrections (kJ/mol of atoms) = -185

abc: 8.6922 4.1421 8.9433
angles: 90.00 104.06 90.00
Closest atoms and distances in Å follow each position.
Space group P2_1/m (No. 11)
Inequivalent atoms, fractional coordinates:
1 Ba 0.1880 0.2500 0.2382 (multiplicity 2)  7 S 3.23-3.33, 1 Li 3.48
2 Li 0.0851 0.2500 0.5907 (multiplicity 2)  4 S 2.40-2.44
3 Sm 0.3314 0.7500 0.8352 (multiplicity 2)  6 S 2.78-2.86
4 S 0.1189 0.2500 0.8655 (multiplicity 2)  1 Li 2.40
5 S 0.1984 0.7500 0.5194 (multiplicity 2)  3 Li 2.42-2.44
6 S 0.4447 0.7500 0.1629 (multiplicity 2)  3 Sm 2.84-2.86

---

First-principles (PBE) data for crystalline Ba4LiSm3S8 at its relaxed geometry, as listed in the Alexandria database.

Calculated values
- density of states at the Fermi level (states/eV/atom) = 0.308
- formation energy without anion corrections (kJ/mol of atoms) = -188

abc: 8.4313 8.4313 21.2611
angles: 90.00 90.00 120.00
Closest atoms and distances in Å follow each position.
Space group R-3m (No. 166, hexagonal axes)
Inequivalent atoms, fractional coordinates:
1 Ba 0.0000 0.0000 0.0000 (multiplicity 3)  6 S 3.14
2 Ba 0.0000 0.5000 0.0000 (multiplicity 9)  6 S 3.15-3.17
3 Li 0.0000 0.0000 0.5000 (multiplicity 3)  6 S 2.90
4 Sm 0.0000 0.5000 0.5000 (multiplicity 9)  6 S 2.86-2.88
5 S 0.0000 0.0000 0.2390 (multiplicity 6)  3 Sm 2.88, 3 Ba 3.15
6 S 0.0039 0.5019 0.7615 (multiplicity 18)  2 Sm 2.86, 1 Li 2.90, 3 Ba 3.14-3.17

---

First-principles (PBE) data for crystalline Ba2LiSnS4 at its relaxed geometry, as listed in the Alexandria database.

Calculated values
- density of states at the Fermi level (states/eV/atom) = 0.542
- formation energy without anion corrections (kJ/mol of atoms) = -122

abc: 7.1473 4.3598 7.2926
angles: 90.00 108.77 90.00
Closest atoms and distances in Å follow each position.
Space group P2/m (No. 10)
Inequivalent atoms, fractional coordinates:
1 Ba 0.0000 0.0000 0.0000 (multiplicity 1)  6 S 3.11-3.13
2 Ba 0.0000 0.5000 0.5000 (multiplicity 1)  6 S 3.13-3.18
3 Li 0.5000 0.0000 0.5000 (multiplicity 1)  6 S 2.78-2.94
4 Sn 0.5000 0.5000 0.0000 (multiplicity 1)  6 S 2.74-2.90
5 S 0.2841 0.5000 0.2504 (multiplicity 2)  1 Sn 2.74, 2 Li 2.94
6 S 0.2892 0.0000 0.7600 (multiplicity 2)  1 Li 2.78, 2 Sn 2.90

---

First-principles (PBE) data for crystalline Ba2LiSnS at its relaxed geometry, as listed in the Alexandria database.

Calculated values
- density of states at the Fermi level (states/eV/atom) = 0.539
- formation energy without anion corrections (kJ/mol of atoms) = -99

abc: 6.2473 6.2473 4.5131
angles: 90.00 90.00 90.00
Closest atoms and distances in Å follow each position.
Space group P4/mmm (No. 123)
Inequivalent atoms, fractional coordinates:
1 Ba 0.0000 0.5000 0.0000 (multiplicity 2)  2 S 3.12
2 Li 0.0000 0.0000 0.5000 (multiplicity 1)  2 S 2.26
3 Sn 0.5000 0.5000 0.5000 (multiplicity 1)  8 Ba 3.85
4 S 0.0000 0.0000 0.0000 (multiplicity 1)  2 Li 2.26

---

First-principles (PBE) data for crystalline BaLiSn2S4 at its relaxed geometry, as listed in the Alexandria database.

Calculated values
- density of states at the Fermi level (states/eV/atom) = 0.354
- formation energy without anion corrections (kJ/mol of atoms) = -95

abc: 4.1634 13.3713 13.9800
angles: 90.00 90.00 90.00
Closest atoms and distances in Å follow each position.
Space group Cmcm (No. 63)
Inequivalent atoms, fractional coordinates:
1 Ba 0.0000 0.1113 0.2500 (multiplicity 4)  6 S 3.18-3.25
2 Li 0.0000 0.1563 0.7500 (multiplicity 4)  4 S 2.39-2.40
3 Sn 0.0000 0.3692 0.0565 (multiplicity 8)  6 S 2.75-2.88
4 S 0.0000 0.0000 0.0000 (multiplicity 4)  4 Sn 2.83
5 S 0.0000 0.2668 0.6145 (multiplicity 8)  1 Li 2.40
6 S 0.0000 0.4313 0.2500 (multiplicity 4)  2 Li 2.39

---

First-principles (PBE) data for crystalline Ba2SrLiS at its relaxed geometry, as listed in the Alexandria database.

Calculated values
- density of states at the Fermi level (states/eV/atom) = 1.169
- formation energy without anion corrections (kJ/mol of atoms) = -68

abc: 6.2904 6.2904 5.8334
angles: 90.00 90.00 90.00
Closest atoms and distances in Å follow each position.
Space group P4/mmm (No. 123)
Inequivalent atoms, fractional coordinates:
1 Ba 0.0000 0.5000 0.0000 (multiplicity 2)  2 S 3.15
2 Sr 0.0000 0.0000 0.5000 (multiplicity 1)  2 S 2.92
3 Li 0.5000 0.5000 0.5000 (multiplicity 1)  8 Ba 4.29, 4 Sr 4.45
4 S 0.0000 0.0000 0.0000 (multiplicity 1)  2 Sr 2.92, 4 Ba 3.15

---

First-principles (PBE) data for crystalline BaSr2LiS at its relaxed geometry, as listed in the Alexandria database.

Calculated values
- density of states at the Fermi level (states/eV/atom) = 1.099
- formation energy without anion corrections (kJ/mol of atoms) = -68

abc: 5.8504 5.8504 6.3557
angles: 90.00 90.00 90.00
Closest atoms and distances in Å follow each position.
Space group P4/mmm (No. 123)
Inequivalent atoms, fractional coordinates:
1 Ba 0.0000 0.0000 0.0000 (multiplicity 1)  2 S 3.18
2 Sr 0.0000 0.5000 0.5000 (multiplicity 2)  2 S 2.93
3 Li 0.5000 0.5000 0.0000 (multiplicity 1)  4 Ba 4.14, 8 Sr 4.32
4 S 0.0000 0.0000 0.5000 (multiplicity 1)  4 Sr 2.93, 2 Ba 3.18

---

First-principles (PBE) data for crystalline Ba4LiTa3S12 at its relaxed geometry, as listed in the Alexandria database.

Calculated values
- density of states at the Fermi level (states/eV/atom) = 0.009
- formation energy without anion corrections (kJ/mol of atoms) = -137

abc: 9.8419 9.8419 9.8419
angles: 90.00 90.00 90.00
Closest atoms and distances in Å follow each position.
Space group Im-3m (No. 229)
Inequivalent atoms, fractional coordinates:
1 Ba 0.2500 0.2500 0.2500 (multiplicity 8)  12 S 3.48
2 Li 0.0000 0.0000 0.0000 (multiplicity 2)  6 S 2.54
3 Ta 0.0000 0.0000 0.5000 (multiplicity 6)  6 S 2.38-2.46
4 S 0.0000 0.0000 0.2584 (multiplicity 12)  1 Ta 2.38, 1 Li 2.54
5 S 0.0000 0.2500 0.5000 (multiplicity 12)  2 Ta 2.46